# 1
Crystalline KPu4Cu3S12 at its relaxed geometry, computed with PBE-GGA.

Calculated values
**Crystal system**: cubic

Structure (POSCAR):
```
KPu4Cu3S12
1.0
8.404 0.000 0.000
-2.801 7.923 0.000
-2.801 -3.962 6.862
Pu Cu S K
4 3 12 1
Cartesian
-1.401 -1.981 3.431
-1.401 3.962 0.000
1.401 1.981 3.431
4.202 0.000 0.000
-2.801 1.981 3.431
2.801 3.962 0.000
2.801 -1.981 3.431
4.690 4.704 1.113
1.889 4.607 3.517
0.071 2.028 5.748
-0.071 5.992 1.118
-0.913 2.574 2.231
-1.889 -0.743 5.748
-2.872 3.959 4.631
2.731 1.933 1.113
5.673 0.003 2.231
0.913 -0.645 3.344
2.872 -2.031 5.744
3.714 1.388 4.631
0.000 0.000 0.000
```

# 2
Crystalline KPuCuS2 at its relaxed geometry, computed with PBE-GGA.

Calculated values
**Crystal system**: orthorhombic

Structure (POSCAR):
```
KPuCuS2
1.0
-1.289 4.492 3.364
-0.338 -4.799 6.278
5.613 2.314 -0.939
K Cu Pu S
2 2 2 4
Cartesian
3.747 0.360 3.202
0.239 1.647 5.501
0.000 0.000 0.000
2.807 1.157 -0.469
3.565 3.981 0.978
0.759 2.825 1.448
3.706 1.804 6.528
2.409 3.720 3.473
1.577 -1.713 5.230
0.280 0.203 2.175
```

# 3
Crystalline K3Pu2CuS6 at its relaxed geometry, computed with PBE-GGA.

Calculated values
**Crystal system**: monoclinic

Structure (POSCAR):
```
K3Pu2CuS6
1.0
-2.518 -0.734 6.508
-3.465 -2.218 -5.683
5.217 -5.532 0.268
S Pu K Cu
6 2 3 1
Cartesian
-0.562 -6.903 -1.316
-0.539 -2.105 -1.902
-0.227 -6.379 2.994
-0.204 -1.580 2.408
-3.569 -3.203 0.667
2.803 -5.280 0.425
-2.835 -1.231 2.426
-3.148 -1.721 -1.602
-0.707 -4.748 -3.616
-0.383 -4.242 0.546
-0.059 -3.735 4.708
0.000 0.000 0.000
```

# 4
Crystalline KPu2CuS4 at its relaxed geometry, computed with PBE-GGA.

Calculated values
**Crystal system**: orthorhombic

Structure (POSCAR):
```
KPu2CuS4
1.0
-3.119 -1.005 -2.290
-1.458 -2.394 6.525
-6.053 11.911 3.018
S K Pu Cu
8 2 4 2
Cartesian
-7.117 6.459 6.859
-3.512 2.053 0.394
-8.383 8.706 4.108
-6.697 5.389 3.267
-2.247 -0.195 3.145
-3.026 5.955 1.509
-3.933 3.123 3.986
0.000 0.000 0.000
-5.183 8.315 3.411
-5.446 0.197 3.842
-5.029 3.969 1.619
-5.601 4.543 5.635
-7.904 9.075 6.783
-2.726 -0.563 0.470
-2.506 2.025 2.525
-8.124 6.487 4.729
```

# 5
Crystalline K3Pu3CuS8 at its relaxed geometry, computed with PBE-GGA.

Calculated values
**Crystal system**: monoclinic

Structure (POSCAR):
```
K3Pu3CuS8
1.0
8.102 0.000 0.000
-4.051 6.752 0.037
0.000 -4.400 7.387
Pu S K Cu
3 8 3 1
Cartesian
2.026 1.176 3.712
-2.026 1.176 3.712
4.051 -2.200 3.694
2.137 -1.049 2.223
4.051 2.546 2.472
4.051 0.091 5.214
1.914 3.400 5.202
-1.914 3.400 5.202
0.000 -0.195 4.953
5.965 -1.049 2.223
0.000 2.261 2.210
0.000 0.000 0.000
-2.026 3.376 0.019
2.026 3.376 0.019
0.000 -2.200 3.694
```

# 6
Crystalline K4Pu3CuSe8 at its relaxed geometry, computed with PBE-GGA.

Calculated values
**Crystal system**: monoclinic

Structure (POSCAR):
```
K4Pu3CuSe8
1.0
-1.221 7.081 4.312
-1.821 -4.824 7.405
7.345 -1.353 -3.840
Se Pu K Cu
8 3 4 1
Cartesian
4.931 0.566 4.621
3.030 -0.258 1.282
1.273 1.162 6.595
2.460 3.257 3.490
-1.251 3.950 5.455
1.843 -2.354 4.387
-0.628 0.338 3.256
5.554 -3.046 2.422
2.152 0.452 3.938
2.762 -3.088 1.783
-1.521 1.128 5.859
3.673 -0.676 -1.920
0.000 0.000 0.000
-0.611 3.540 2.156
3.062 2.864 0.236
-0.910 -2.412 3.703
```

Fermi-level density of states readings, ordered: 33.85; 12.39; 11.87; 32.72; 28.37; 26.44 states/eV/cell
Magnetization readings, ordered: 0.83; 1.20; 0.67; 1.25; 0.28; 0.81 μB per atom
VASP energy readings, ordered: -6.860; -6.486; -6.281; -7.714; -6.778; -6.160 eV/atom